Here is CaMnCd2 after structural relaxation from Alexandria via LeMat-Bulk. Energies are from GGA-PBEsol.

POSCAR file:
```
CaMnCd2
1.0
3.5512 0.0000 0.0000
0.0000 3.5453 0.0000
0.0000 0.0000 6.9200
Ca Mn Cd
1 1 2
direct
0.5000 0.5000 0.7406 Ca
0.0000 0.0000 0.4580 Mn
0.0000 0.0000 0.0297 Cd
0.5000 0.5000 0.2716 Cd
```

SG: P4mm (99)
DFT formation energy (kJ/mol of formula units): 73
E_tot (eV per atom): -3.38